The following is a DFT calculation (PBE+U) of TiMoO2F after structural relaxation.

Theoretical density in g cm⁻³: 5.18
Total moment in μB per formula unit: 4.75
Total energy in eV per cell: -35.93
D(E_F) in states/eV/cell: 2.9

Geometry as extended XYZ:
```
5
Lattice="3.9233 0.0000 0.0000 0.0000 3.9233 0.0000 0.0000 0.0000 4.0598" Properties=species:S:1:pos:R:3 pbc="T T T"
Ti 0.0000 0.0000 0.0000
Mo 1.9616 1.9616 2.0299
O 0.0000 1.9616 0.0000
O 1.9616 0.0000 0.0000
F 0.0000 0.0000 2.0299
```